First-principles (PBE) data for crystalline Cu2SCl2 at its relaxed geometry, as listed in OQMD via LeMat-Bulk.

Its space-group type is No. 70. The value obtained for the total energy is -3.373 eV per atom.

abc: 8.089 7.062 6.685
angles: 72.03 56.15 51.83
Sites, in units of the cell vectors:
Cu 0.000 0.000 0.000
Cu 0.000 0.000 0.500
Cu 0.000 0.500 0.000
Cu 0.500 0.000 0.000
S 0.125 0.125 0.125
S 0.875 0.875 0.875
Cl 0.132 0.132 0.618
Cl 0.382 0.382 0.868
Cl 0.618 0.618 0.132
Cl 0.868 0.868 0.382


First-principles (PBE) data for crystalline PrDyP2Ir2O2 at its relaxed geometry, as listed in OQMD via LeMat-Bulk.

Its space-group type is No. 99. The value obtained for the total energy is -7.915 eV per atom.

abc: 3.980 3.980 8.212
angles: 90.00 90.00 90.00
Sites, in units of the cell vectors:
Pr 0.000 0.000 0.000
Dy 0.500 0.500 0.719
P 0.000 0.000 0.519
P 0.500 0.500 0.201
Ir 0.000 0.500 0.361
Ir 0.500 0.000 0.361
O 0.000 0.500 0.847
O 0.500 0.000 0.847


First-principles (PBE) data for crystalline Li2Y2Al2CuAg at its relaxed geometry, as listed in OQMD via LeMat-Bulk.

Its space-group type is No. 115. The value obtained for the total energy is -4.181 eV per atom.

abc: 4.668 4.668 6.644
angles: 90.00 90.00 90.00
Sites, in units of the cell vectors:
Li 0.000 0.000 0.000
Li 0.500 0.500 0.500
Y 0.000 0.500 0.738
Y 0.500 0.000 0.262
Al 0.000 0.500 0.257
Al 0.500 0.000 0.743
Cu 0.000 0.000 0.500
Ag 0.500 0.500 0.000


First-principles (PBE) data for crystalline SrAl5PdPt at its relaxed geometry, as listed in OQMD via LeMat-Bulk.

Its space-group type is No. 44. The value obtained for the total energy is -4.670 eV per atom.

abc: 4.118 7.379 10.071
angles: 90.00 90.00 90.00
Sites, in units of the cell vectors:
Sr 0.000 0.000 0.000
Sr 0.500 0.500 0.500
Al 0.000 0.189 0.345
Al 0.000 0.190 0.652
Al 0.000 0.500 0.001
Al 0.000 0.810 0.652
Al 0.000 0.811 0.345
Al 0.500 0.000 0.501
Al 0.500 0.310 0.152
Al 0.500 0.311 0.845
Al 0.500 0.689 0.845
Al 0.500 0.690 0.152
Pd 0.000 0.500 0.239
Pd 0.500 0.000 0.739
Pt 0.000 0.500 0.761
Pt 0.500 0.000 0.261


First-principles (PBE) data for crystalline TmZrNi at its relaxed geometry, as listed in OQMD via LeMat-Bulk.

Its space-group type is No. 216. The formation energy from the elements is -0.032 eV per atom.

abc: 6.414 6.414 6.414
angles: 90.00 90.00 90.00
Sites, in units of the cell vectors:
Tm 0.000 0.000 0.000
Tm 0.000 0.500 0.500
Tm 0.500 0.000 0.500
Tm 0.500 0.500 0.000
Zr 0.000 0.000 0.500
Zr 0.000 0.500 0.000
Zr 0.500 0.000 0.000
Zr 0.500 0.500 0.500
Ni 0.250 0.250 0.250
Ni 0.250 0.750 0.750
Ni 0.750 0.250 0.750
Ni 0.750 0.750 0.250


First-principles (PBE) data for crystalline DyPaRe at its relaxed geometry, as listed in OQMD via LeMat-Bulk.

Its space-group type is No. 216. The formation energy from the elements is 0.244 eV per atom.

abc: 6.753 6.753 6.753
angles: 90.00 90.00 90.00
Sites, in units of the cell vectors:
Dy 0.000 0.000 0.000
Dy 0.000 0.500 0.500
Dy 0.500 0.000 0.500
Dy 0.500 0.500 0.000
Pa 0.000 0.000 0.500
Pa 0.000 0.500 0.000
Pa 0.500 0.000 0.000
Pa 0.500 0.500 0.500
Re 0.250 0.250 0.750
Re 0.250 0.750 0.250
Re 0.750 0.250 0.250
Re 0.750 0.750 0.750


First-principles (PBE) data for crystalline ZrSc at its relaxed geometry, as listed in OQMD via LeMat-Bulk.

Its space-group type is No. 194. The formation energy from the elements is 1.498 eV per atom.

abc: 5.164 5.164 5.501
angles: 90.00 90.00 120.00
Sites, in units of the cell vectors:
Zr 0.333 0.667 0.250
Zr 0.667 0.333 0.750
Sc 0.333 0.667 0.750
Sc 0.667 0.333 0.250


First-principles (PBE) data for crystalline DyHf2Cu4Si4 at its relaxed geometry, as listed in OQMD via LeMat-Bulk.

Its space-group type is No. 71. The value obtained for the total energy is -6.108 eV per atom.

abc: 7.589 7.589 7.589
angles: 149.93 129.22 60.15
Sites, in units of the cell vectors:
Dy 0.000 0.000 0.000
Hf 0.376 0.876 0.500
Hf 0.624 0.124 0.500
Cu 0.022 0.329 0.693
Cu 0.364 0.671 0.693
Cu 0.636 0.329 0.307
Cu 0.978 0.671 0.307
Si 0.220 0.220 0.000
Si 0.317 0.500 0.817
Si 0.683 0.500 0.183
Si 0.780 0.780 0.000


First-principles (PBE) data for crystalline DySiNO at its relaxed geometry, as listed in OQMD via LeMat-Bulk.

Its space-group type is No. 129. The value obtained for the total energy is -7.191 eV per atom.

abc: 4.570 4.570 4.891
angles: 90.00 90.00 90.00
Sites, in units of the cell vectors:
Dy 0.250 0.750 0.000
Dy 0.750 0.250 0.000
Si 0.250 0.250 0.499
Si 0.750 0.750 0.501
N 0.250 0.250 0.146
N 0.750 0.750 0.854
O 0.250 0.750 0.500
O 0.750 0.250 0.500


First-principles (PBE) data for crystalline RbTaPO at its relaxed geometry, as listed in OQMD via LeMat-Bulk.

Its space-group type is No. 129. The value obtained for the total energy is -6.057 eV per atom.

abc: 4.108 4.108 11.585
angles: 90.00 90.00 90.00
Sites, in units of the cell vectors:
Rb 0.250 0.250 0.152
Rb 0.750 0.750 0.848
Ta 0.250 0.750 0.500
Ta 0.750 0.250 0.500
P 0.250 0.250 0.622
P 0.750 0.750 0.378
O 0.250 0.750 0.000
O 0.750 0.250 0.000


First-principles (PBE) data for crystalline TlZnFeCo at its relaxed geometry, as listed in OQMD via LeMat-Bulk.

Its space-group type is No. 216. The value obtained for the total energy is -4.340 eV per atom.

abc: 6.209 6.209 6.209
angles: 90.00 90.00 90.00
Sites, in units of the cell vectors:
Tl 0.000 0.000 0.000
Tl 0.000 0.500 0.500
Tl 0.500 0.000 0.500
Tl 0.500 0.500 0.000
Zn 0.250 0.250 0.750
Zn 0.250 0.750 0.250
Zn 0.750 0.250 0.250
Zn 0.750 0.750 0.750
Fe 0.000 0.000 0.500
Fe 0.000 0.500 0.000
Fe 0.500 0.000 0.000
Fe 0.500 0.500 0.500
Co 0.250 0.250 0.250
Co 0.250 0.750 0.750
Co 0.750 0.250 0.750
Co 0.750 0.750 0.250


First-principles (PBE) data for crystalline TaBeCuNi at its relaxed geometry, as listed in OQMD via LeMat-Bulk.

Its space-group type is No. 216. The value obtained for the total energy is -6.200 eV per atom.

abc: 5.784 5.784 5.784
angles: 90.00 90.00 90.00
Sites, in units of the cell vectors:
Ta 0.000 0.000 0.000
Ta 0.000 0.500 0.500
Ta 0.500 0.000 0.500
Ta 0.500 0.500 0.000
Be 0.250 0.250 0.750
Be 0.250 0.750 0.250
Be 0.750 0.250 0.250
Be 0.750 0.750 0.750
Cu 0.250 0.250 0.250
Cu 0.250 0.750 0.750
Cu 0.750 0.250 0.750
Cu 0.750 0.750 0.250
Ni 0.000 0.000 0.500
Ni 0.000 0.500 0.000
Ni 0.500 0.000 0.000
Ni 0.500 0.500 0.500